(1)
Below is LiMoPb4 after structural relaxation, with properties calculated at the PBE level.

Output
space-group type	F-43m (216)
E_tot	-3.891	eV/atom

Cell: 6.3779 6.3779 6.3779 Å, 60.00 60.00 60.00°
Sites, in units of the cell vectors:
Pb  0.3744  0.3744  0.3744
Pb  0.8768  0.3744  0.3744
Mo  0.0000  0.0000  0.0000
Li  0.7500  0.7500  0.7500
Pb  0.3744  0.3744  0.8768
Pb  0.3744  0.8768  0.3744

=====

(2)
Below is Rb2Tl6ZnHg after structural relaxation, with properties calculated at the PBE level.

Output
space-group type	Pmmn (59)
E_tot	-1.735	eV/atom

Cell: 6.8121 11.0065 9.9035 Å, 90.00 90.00 90.00°
Sites, in units of the cell vectors:
Tl  0.7532  0.5399  0.0000
Rb  0.5000  0.7367  0.2751
Rb  0.5000  0.7367  0.7249
Tl  0.5000  0.1172  0.7629
Tl  0.7543  0.0185  0.5000
Tl  0.5000  0.1172  0.2371
Rb  0.0000  0.2633  0.7751
Zn  0.5000  0.2466  0.5000
Zn  0.0000  0.7534  0.0000
Tl  0.0000  0.8828  0.2629
Tl  0.2532  0.4601  0.5000
Tl  0.0000  0.8828  0.7371
Rb  0.0000  0.2633  0.2249
Tl  0.2457  0.0185  0.5000
Hg  0.0000  0.6965  0.5000
Hg  0.5000  0.3035  0.0000
Tl  0.2468  0.5399  0.0000
Tl  0.2543  0.9815  0.0000
Tl  0.7468  0.4601  0.5000
Tl  0.7457  0.9815  0.0000

=====

(3)
Below is CsLaNi3 after structural relaxation, with properties calculated at the PBE level.

Output
energy above the lowest structure with this stoichiometry	367	meV/atom
space-group type	Pm-3m (221)

Cell: 4.9236 4.9236 4.9236 Å, 90.00 90.00 90.00°
Sites, in units of the cell vectors:
Cs  0.0000  0.0000  0.0000
Ni  0.0000  0.0000  0.5000
Ni  0.0000  0.5000  0.0000
La  0.5000  0.5000  0.5000
Ni  0.5000  0.0000  0.0000

=====

(4)
Below is NaSe2Cl8 after structural relaxation, with properties calculated at the PBE level.

Output
energy relative to the elements, uncorrected	-41.1	kJ per mole of atoms
space-group type	P-3 (147)

Cell: 5.2384 8.6179 8.6199 Å, 120.00 90.00 90.00°
Sites, in units of the cell vectors:
Se  0.2429  0.3334  0.6667
Cl  0.7413  0.8234  0.6447
Cl  0.2432  0.6666  0.3332
Cl  0.2587  0.1766  0.3552
Cl  0.7412  0.8214  0.1765
Cl  0.7568  0.3334  0.6667
Cl  0.2588  0.1786  0.8234
Cl  0.7412  0.3550  0.1786
Cl  0.2588  0.6450  0.8214
Se  0.7571  0.6666  0.3333
Na  0.0000  0.0000  0.0000

=====

(5)
Below is ReMo2Ru after structural relaxation, with properties calculated at the PBE level.

Output
energy above the lowest structure with this stoichiometry	52	meV/atom
space-group type	Cmmm (65)

Cell: 2.7147 2.7147 8.7284 Å, 90.00 90.00 108.73°
Sites, in units of the cell vectors:
Ru  0.5000  0.5000  0.7500
Mo  0.0000  0.0000  0.5034
Re  0.5000  0.5000  0.2500
Mo  0.0000  0.0000  0.9966

=====

(6)
Below is TcPdI2 after structural relaxation, with properties calculated at the PBE level.

Output
energy relative to the elements, uncorrected	74.1	kJ per mole of atoms
energy above the lowest structure with this stoichiometry	190	meV/atom
space-group type	Fm-3m (225)

Cell: 4.8832 4.8832 4.8832 Å, 60.00 60.00 60.00°
Sites, in units of the cell vectors:
I  0.7500  0.7500  0.7500
Pd  0.5000  0.5000  0.5000
I  0.2500  0.2500  0.2500
Tc  0.0000  0.0000  0.0000

=====

(7)
Below is Tb3Y5As8 after structural relaxation, with properties calculated at the PBE level.

Output
space-group type	R-3m (166)
E_tot	-6.765	eV/atom

Cell: 8.2581 8.2581 8.2581 Å, 60.00 60.00 60.00°
Sites, in units of the cell vectors:
As  0.7498  0.7498  0.7498
Y  0.5000  0.5000  0.5000
Y  0.5000  0.0000  0.5000
Y  0.5000  0.5000  0.0000
Tb  0.0000  0.0000  0.5000
As  0.2503  0.7500  0.7500
As  0.7497  0.2500  0.2500
Y  0.0000  0.0000  0.0000
As  0.7500  0.7500  0.2503
As  0.2500  0.2500  0.7497
Tb  0.0000  0.5000  0.0000
As  0.2500  0.7497  0.2500
Y  0.0000  0.5000  0.5000
Tb  0.5000  0.0000  0.0000
As  0.7500  0.2503  0.7500
As  0.2502  0.2502  0.2502

=====

(8)
Below is AsS2F after structural relaxation, with properties calculated at the PBE level.

Output
energy relative to the elements, uncorrected	15.5	kJ per mole of atoms
energy above the lowest structure with this stoichiometry	275	meV/atom
space-group type	Fm-3m (225)

Cell: 4.3768 4.3768 4.3768 Å, 60.00 60.00 60.00°
Sites, in units of the cell vectors:
S  0.2500  0.2500  0.2500
F  0.0000  0.0000  0.0000
S  0.7500  0.7500  0.7500
As  0.5000  0.5000  0.5000